# 1
First-principles (GGA-PBE) data for a relaxed structure of KH2Se, as listed in Alexandria.

a b c (Å): 4.5884 4.5884 7.5136
angles (deg): 72.22 72.22 90.00
Sites, in units of the cell vectors:
H: 0.8739 0.1250 0.2500
H: 0.8761 0.6250 0.2500
H: 0.3750 0.1261 0.7500
H: 0.8750 0.1239 0.7500
K: 0.5000 0.5000 0.0000
K: 0.2500 0.7500 0.5000
Se: 0.0000 0.0000 0.0000
Se: 0.7500 0.2500 0.5000

Summary:
space-group type: No. 141
ΔE to the lowest computed polymorph: 117.8 meV per atom

# 2
First-principles (GGA-PBE) data for a relaxed structure of Al13Rh2, as listed in Alexandria.

a b c (Å): 5.0506 6.2809 8.4447
angles (deg): 109.58 85.77 99.31
Sites, in units of the cell vectors:
Rh: 0.7594 0.7993 0.6221
Rh: 0.2406 0.2007 0.3779
Al: 0.7545 0.6155 0.0776
Al: 0.2455 0.3845 0.9224
Al: 0.0000 0.0000 0.0000
Al: 0.2424 0.9691 0.5899
Al: 0.7576 0.0309 0.4101
Al: 0.0313 0.5202 0.6691
Al: 0.9687 0.4798 0.3309
Al: 0.4841 0.5938 0.3739
Al: 0.5159 0.4062 0.6261
Al: 0.4689 0.8009 0.8760
Al: 0.5311 0.1991 0.1240
Al: 0.7300 0.2011 0.8038
Al: 0.2700 0.7989 0.1962

Summary:
space-group type: No. 2
final energy: -67.293 eV per cell

# 3
First-principles (GGA-PBE) data for a relaxed structure of Li4Mg9Hg11, as listed in Alexandria.

a b c (Å): 3.2286 12.8398 12.8398
angles (deg): 112.52 90.00 90.00
Sites, in units of the cell vectors:
Li: 0.5000 0.5549 0.7468
Li: 0.5000 0.4451 0.2532
Li: 0.5000 0.7468 0.5549
Li: 0.5000 0.2532 0.4451
Mg: 0.5000 0.6253 0.1490
Mg: 0.5000 0.3747 0.8510
Mg: 0.5000 0.1490 0.6253
Mg: 0.5000 0.8510 0.3747
Mg: 0.5000 0.7902 0.9494
Mg: 0.5000 0.2098 0.0506
Mg: 0.5000 0.9494 0.7902
Mg: 0.5000 0.0506 0.2098
Mg: 0.5000 0.5000 0.5000
Hg: 0.0000 0.5886 0.9345
Hg: 0.0000 0.4114 0.0655
Hg: 0.0000 0.9345 0.5886
Hg: 0.0000 0.0655 0.4114
Hg: 0.0000 0.6352 0.3648
Hg: 0.0000 0.3648 0.6352
Hg: 0.0000 0.8318 0.1682
Hg: 0.0000 0.1682 0.8318
Hg: 0.0000 0.0000 0.0000
Hg: 0.0000 0.7202 0.7202
Hg: 0.0000 0.2798 0.2798

Summary:
space-group type: No. 65
final energy: -31.132 eV per cell

# 4
First-principles (GGA-PBE) data for a relaxed structure of SrSm2PaAs4, as listed in Alexandria.

a b c (Å): 5.9758 5.9758 7.3283
angles (deg): 114.06 114.06 90.00
Sites, in units of the cell vectors:
Sr: 0.5000 0.5000 0.0000
Sm: 0.2500 0.7500 0.5000
Sm: 0.0000 0.0000 0.0000
Pa: 0.7500 0.2500 0.5000
As: 0.9875 0.4875 0.9749
As: 0.5125 0.0125 0.0251
As: 0.7558 0.7558 0.5115
As: 0.2442 0.2442 0.4885

Summary:
space-group type: No. 119
final energy: -49.603 eV per cell

| no. | DOS at the Fermi energy (states/eV/cell) | ρ (g/cm3) |
| --- | --- | --- |
| 1 | 1.73 | 2.8 |
| 2 | 4.61 | 3.7 |
| 3 | 5.07 | 8.3 |
| 4 | 4.42 | 7.1 |